[1]
MgSb2Pd5: optimized geometry, PBE.

Cell lengths 4.8553, 4.8553, 6.8821 Å; angles 110.62, 110.66, 90.00 degrees
With the nearest neighbours (Å) after each atom.
Fractional positions:
Mg  0.0000  0.0000  0.0000  8 Pd 2.84
Sb  0.7329  0.7335  0.4658  9 Pd 2.75-2.97
Sb  0.2671  0.2665  0.5342  9 Pd 2.75-2.97
Pd  0.5000  0.5000  0.0000  2 Sb 2.78, 8 Pd 2.84
Pd  0.8765  0.3773  0.7530  4 Sb 2.76-2.97, 2 Mg 2.84, 4 Pd 2.84-3.02
Pd  0.3765  0.8762  0.7530  4 Sb 2.75-2.97, 4 Pd 2.84-3.02, 2 Mg 2.84
Pd  0.1235  0.6227  0.2470  4 Sb 2.76-2.97, 2 Mg 2.84, 4 Pd 2.84-3.02
Pd  0.6235  0.1238  0.2470  4 Sb 2.75-2.97, 4 Pd 2.84-3.02, 2 Mg 2.84

Values from the calculation:
As for the spin magnetization: 0.00 Bohr magnetons per cell.



[2]
MgSbPd2: optimized geometry, PBE.

Cell lengths 4.6287, 4.6287, 4.6287 Å; angles 60.00, 60.00, 60.00 degrees
With the nearest neighbours (Å) after each atom.
Fractional positions:
Sb  0.5000  0.5000  0.5000  8 Pd 2.83
Mg  0.0000  0.0000  0.0000  8 Pd 2.83
Pd  0.2500  0.2500  0.2500  4 Sb 2.83, 4 Mg 2.83
Pd  0.7500  0.7500  0.7500  4 Sb 2.83, 4 Mg 2.83

Values from the calculation:
The calculation puts the polymorph energy (0 for the lowest one) at 0.000 eV/atom. As for the spin magnetization: 0.00 Bohr magnetons per cell.



[3]
Mg3SbPd12: optimized geometry, PBE.

Cell lengths 3.9992, 3.9992, 15.8713 Å; angles 90.00, 90.00, 90.00 degrees
With the nearest neighbours (Å) after each atom.
Fractional positions:
Mg  0.0000  0.0000  0.2536  12 Pd 2.80-2.83
Mg  0.0000  0.0000  0.5000  12 Pd 2.80-2.83
Mg  0.0000  0.0000  0.7464  12 Pd 2.80-2.83
Sb  0.0000  0.0000  0.0000  12 Pd 2.83-2.85
Pd  0.5000  0.5000  0.0000  4 Sb 2.83, 8 Pd 2.85
Pd  0.5000  0.5000  0.2524  8 Pd 2.81, 4 Mg 2.83
Pd  0.5000  0.5000  0.5000  8 Pd 2.80, 4 Mg 2.83
Pd  0.5000  0.5000  0.7476  8 Pd 2.81, 4 Mg 2.83
Pd  0.5000  0.0000  0.1277  8 Pd 2.81-2.85, 2 Mg 2.83, 2 Sb 2.85
Pd  0.5000  0.0000  0.3768  8 Pd 2.80-2.83, 4 Mg 2.80
Pd  0.5000  0.0000  0.6232  4 Mg 2.80, 8 Pd 2.80-2.83
Pd  0.5000  0.0000  0.8723  8 Pd 2.81-2.85, 2 Mg 2.83, 2 Sb 2.85
Pd  0.0000  0.5000  0.1277  8 Pd 2.81-2.85, 2 Mg 2.83, 2 Sb 2.85
Pd  0.0000  0.5000  0.3768  8 Pd 2.80-2.83, 4 Mg 2.80
Pd  0.0000  0.5000  0.6232  4 Mg 2.80, 8 Pd 2.80-2.83
Pd  0.0000  0.5000  0.8723  8 Pd 2.81-2.85, 2 Mg 2.83, 2 Sb 2.85

Values from the calculation:
As for the spin magnetization: 0.00 Bohr magnetons per cell.



[4]
MgSbPd2: optimized geometry, PBE.

Cell lengths 3.5434, 4.4558, 4.4558 Å; angles 90.00, 90.00, 90.00 degrees
With the nearest neighbours (Å) after each atom.
Fractional positions:
Sb  0.5000  0.0000  0.0000  8 Pd 2.85, 4 Mg 3.15
Mg  0.5000  0.5000  0.5000  8 Pd 2.85, 4 Sb 3.15
Pd  0.0000  0.0000  0.5000  4 Sb 2.85, 4 Mg 2.85, 4 Pd 3.15
Pd  0.0000  0.5000  0.0000  4 Sb 2.85, 4 Mg 2.85, 4 Pd 3.15

Values from the calculation:
The calculation puts the polymorph energy (0 for the lowest one) at 0.036 eV/atom. As for the spin magnetization: 0.00 Bohr magnetons per cell.



[5]
MgSb6Pd12: optimized geometry, PBE.

Cell lengths 7.3600, 7.3600, 7.3600 Å; angles 102.52, 102.52, 102.52 degrees
With the nearest neighbours (Å) after each atom.
Fractional positions:
Mg  0.0000  0.0000  0.0000  6 Pd 2.79
Sb  0.7664  0.8563  0.5201  7 Pd 2.64-2.87
Sb  0.4799  0.2336  0.1437  7 Pd 2.64-2.87
Sb  0.1437  0.4799  0.2336  7 Pd 2.64-2.87
Sb  0.2336  0.1437  0.4799  7 Pd 2.64-2.87
Sb  0.5201  0.7664  0.8563  7 Pd 2.64-2.87
Sb  0.8563  0.5201  0.7664  7 Pd 2.64-2.87
Pd  0.8156  0.4792  0.3855  4 Sb 2.70-2.87, 5 Pd 2.78-2.89
Pd  0.3855  0.8156  0.4792  4 Sb 2.70-2.87, 5 Pd 2.78-2.89
Pd  0.4792  0.3855  0.8156  4 Sb 2.70-2.87, 5 Pd 2.78-2.89
Pd  0.1844  0.5208  0.6145  4 Sb 2.70-2.87, 5 Pd 2.78-2.89
Pd  0.6145  0.1844  0.5208  4 Sb 2.70-2.87, 5 Pd 2.78-2.89
Pd  0.5208  0.6145  0.1844  4 Sb 2.70-2.87, 5 Pd 2.78-2.89
Pd  0.9948  0.8008  0.2824  3 Sb 2.64-2.80, 4 Pd 2.79-2.89, 1 Mg 2.79
Pd  0.1992  0.7176  0.0052  3 Sb 2.64-2.80, 4 Pd 2.79-2.89, 1 Mg 2.79
Pd  0.7176  0.0052  0.1992  3 Sb 2.64-2.80, 4 Pd 2.79-2.89, 1 Mg 2.79
Pd  0.0052  0.1992  0.7176  3 Sb 2.64-2.80, 4 Pd 2.79-2.89, 1 Mg 2.79
Pd  0.8008  0.2824  0.9948  3 Sb 2.64-2.80, 4 Pd 2.79-2.89, 1 Mg 2.79
Pd  0.2824  0.9948  0.8008  3 Sb 2.64-2.80, 4 Pd 2.79-2.89, 1 Mg 2.79

Values from the calculation:
As for the spin magnetization: 0.00 Bohr magnetons per cell.



[6]
Mg4SbPd7: optimized geometry, PBE.

Cell lengths 4.9249, 8.7843, 5.8321 Å; angles 78.54, 65.02, 73.72 degrees
With the nearest neighbours (Å) after each atom.
Fractional positions:
Mg  0.5897  0.2300  0.5905  8 Pd 2.65-2.88
Mg  0.4103  0.7700  0.4095  8 Pd 2.65-2.88
Mg  0.7724  0.6565  0.7987  5 Pd 2.63-2.82
Mg  0.2276  0.3435  0.2013  5 Pd 2.63-2.82
Sb  0.0000  0.0000  0.0000  4 Pd 2.46-2.66
Pd  0.7881  0.9238  0.5000  4 Mg 2.63-2.84, 1 Sb 2.66, 4 Pd 2.78
Pd  0.2119  0.0762  0.5000  4 Mg 2.63-2.84, 1 Sb 2.66, 4 Pd 2.78
Pd  0.0696  0.6794  0.1814  4 Pd 2.74-2.97, 1 Sb 2.78, 3 Mg 2.82-2.88
Pd  0.9304  0.3206  0.8186  4 Pd 2.74-2.97, 1 Sb 2.78, 3 Mg 2.82-2.88
Pd  0.3637  0.5166  0.7560  5 Mg 2.65-2.75, 2 Pd 2.74-2.75
Pd  0.5000  0.0000  0.0000  2 Sb 2.46
Pd  0.6363  0.4834  0.2440  5 Mg 2.65-2.75, 2 Pd 2.74-2.75

Values from the calculation:
As for the spin magnetization: 0.00 Bohr magnetons per cell.



DOS(E_F) values, unit states/eV per cell, following the record order: 4.26; 1.43; 16.48; 2.14; 8.81; 4.47.
Final energy values, unit eV/atom, following the record order: -4.91; -4.63; -4.92; -4.60; -5.02; -4.33.